# 1
Material: Rb2CrCu3F12
Method: DFT, PBE+U
State: optimized geometry

Calculated values
Total magnetic moment (μB/cell): 6.9
Space-group type: R-3m
Energy (eV per atom): -4.57

Lattice parameters (Å, degrees): 7.347 7.347 7.347 59.27 59.27 59.27
Fractional coordinates of all 18 atoms:
Rb: 0.120 0.120 0.120
Rb: 0.880 0.880 0.880
Cr: 0.500 0.500 0.500
Cu: 0.000 0.500 0.500
Cu: 0.500 0.000 0.500
Cu: 0.500 0.500 0.000
F: 0.178 0.178 0.574
F: 0.178 0.574 0.178
F: 0.181 0.573 0.573
F: 0.426 0.822 0.822
F: 0.427 0.427 0.819
F: 0.427 0.819 0.427
F: 0.573 0.181 0.573
F: 0.573 0.573 0.181
F: 0.574 0.178 0.178
F: 0.819 0.427 0.427
F: 0.822 0.426 0.822
F: 0.822 0.822 0.426

---

# 2
Material: RbCr2CuF8
Method: DFT, PBE+U
State: optimized geometry

Calculated values
Total magnetic moment (μB/cell): 5.9
Space-group type: P-1
Energy (eV per atom): -5.29

Lattice parameters (Å, degrees): 5.351 5.621 6.274 97.29 92.61 94.22
Fractional coordinates of all 12 atoms:
Rb: 0.000 0.000 0.000
Cr: 0.476 0.493 0.743
Cr: 0.524 0.507 0.257
Cu: 0.000 0.000 0.500
F: 0.255 0.187 0.683
F: 0.292 0.593 0.487
F: 0.295 0.585 0.015
F: 0.382 0.193 0.226
F: 0.618 0.807 0.774
F: 0.705 0.415 0.985
F: 0.708 0.407 0.513
F: 0.745 0.813 0.317

---

Question: The highest energy belongs to which entry?
Answer: Rb2CrCu3F12

---

Question: Among the records above, which one has the highest energy?
Answer: Rb2CrCu3F12